[1]
Density functional theory data (PBE) for a relaxed structure of KHg2AsRh.

a = 5.376 Å, b = 5.376 Å, c = 4.768 Å
α = 90.00°, β = 90.00°, γ = 90.00°
Element x y z (fractional)
K 0.000 0.000 0.000
Hg 0.000 0.500 0.500
Hg 0.500 0.000 0.500
As 0.500 0.500 0.000
Rh 0.500 0.500 0.500

Computed properties:
* total DFT energy (no corrections): -2.90 eV/atom

---

[2]
Density functional theory data (PBE) for a relaxed structure of RbMn3Ir.

a = 4.672 Å, b = 4.672 Å, c = 4.672 Å
α = 90.00°, β = 90.00°, γ = 90.00°
Element x y z (fractional)
Rb 0.000 0.000 0.000
Mn 0.000 0.000 0.500
Mn 0.000 0.500 0.000
Mn 0.500 0.000 0.000
Ir 0.500 0.500 0.500

Computed properties:
* E above lowest polymorph: 1858 meV per atom
* total DFT energy (no corrections): -4.84 eV/atom

---

[3]
Density functional theory data (PBE) for a relaxed structure of CsTlI3.

a = 7.121 Å, b = 7.121 Å, c = 7.121 Å
α = 90.00°, β = 90.00°, γ = 90.00°
Element x y z (fractional)
Cs 0.000 0.000 0.000
Tl 0.500 0.500 0.500
I 0.000 0.000 0.500
I 0.000 0.500 0.000
I 0.500 0.000 0.000

Computed properties:
* uncorrected formation energy: -392 meV/atom
* total DFT energy (no corrections): -1.97 eV/atom

---

[4]
Density functional theory data (PBE) for a relaxed structure of ReAg2Pt.

a = 4.525 Å, b = 4.525 Å, c = 4.525 Å
α = 60.00°, β = 60.00°, γ = 60.00°
Element x y z (fractional)
Re 0.000 0.000 0.000
Ag 0.250 0.250 0.250
Ag 0.750 0.750 0.750
Pt 0.500 0.500 0.500

Computed properties:
* E above lowest polymorph: 643 meV per atom
* total DFT energy (no corrections): -5.22 eV/atom

---

[5]
Density functional theory data (PBE) for a relaxed structure of BeNbIr2.

a = 8.760 Å, b = 8.760 Å, c = 8.760 Å
α = 154.32°, β = 154.32°, γ = 36.64°
Element x y z (fractional)
Be 0.000 0.000 0.000
Be 0.750 0.250 0.500
Nb 0.250 0.750 0.500
Nb 0.500 0.500 0.000
Ir 0.079 0.625 0.954
Ir 0.375 0.329 0.454
Ir 0.671 0.125 0.046
Ir 0.875 0.921 0.546

Computed properties:
* total DFT energy (no corrections): -7.79 eV/atom

---

[6]
Density functional theory data (PBE) for a relaxed structure of Mg6In2N.

a = 6.300 Å, b = 6.300 Å, c = 6.300 Å
α = 119.95°, β = 119.95°, γ = 90.09°
Element x y z (fractional)
Mg 0.244 0.244 0.489
Mg 0.244 0.756 0.000
Mg 0.245 0.245 0.000
Mg 0.755 0.755 0.000
Mg 0.756 0.244 0.000
Mg 0.756 0.756 0.511
In 0.250 0.750 0.500
In 0.750 0.250 0.500
N 0.000 0.000 0.000

Computed properties:
* uncorrected formation energy: -244 meV/atom
* total DFT energy (no corrections): -2.84 eV/atom

---

[7]
Density functional theory data (PBE) for a relaxed structure of LiPdPb2S.

a = 5.315 Å, b = 5.315 Å, c = 4.555 Å
α = 90.00°, β = 90.00°, γ = 90.00°
Element x y z (fractional)
Li 0.000 0.000 0.000
Pd 0.000 0.000 0.500
Pb 0.000 0.500 0.500
Pb 0.500 0.000 0.500
S 0.500 0.500 0.000

Computed properties:
* uncorrected formation energy: -87 meV/atom
* total DFT energy (no corrections): -3.82 eV/atom

---

[8]
Density functional theory data (PBE) for a relaxed structure of LiZrHg2.

a = 6.203 Å, b = 6.203 Å, c = 6.203 Å
α = 150.93°, β = 131.32°, γ = 57.71°
Element x y z (fractional)
Li 0.000 0.000 0.000
Zr 0.287 0.787 0.500
Hg 0.523 0.523 0.000
Hg 0.762 0.262 0.500

Computed properties:
* total DFT energy (no corrections): -2.83 eV/atom

---

[9]
Density functional theory data (PBE) for a relaxed structure of Mg2InRePd.

a = 5.005 Å, b = 5.005 Å, c = 5.120 Å
α = 90.00°, β = 90.00°, γ = 90.00°
Element x y z (fractional)
Mg 0.000 0.500 0.000
Mg 0.500 0.000 0.000
In 0.000 0.000 0.500
Re 0.000 0.000 0.000
Pd 0.500 0.500 0.500

Computed properties:
* total DFT energy (no corrections): -3.73 eV/atom

---

[10]
Density functional theory data (PBE) for a relaxed structure of Y2HgSe.

a = 6.540 Å, b = 6.540 Å, c = 6.540 Å
α = 142.24°, β = 142.24°, γ = 54.47°
Element x y z (fractional)
Y 0.000 0.000 0.000
Y 0.750 0.250 0.500
Hg 0.250 0.750 0.500
Se 0.500 0.500 0.000

Computed properties:
* uncorrected formation energy: -756 meV/atom
* E above lowest polymorph: 366 meV per atom
* total DFT energy (no corrections): -4.94 eV/atom

---

[11]
Density functional theory data (PBE) for a relaxed structure of Sc2MoAu.

a = 5.405 Å, b = 5.405 Å, c = 4.846 Å
α = 106.84°, β = 106.84°, γ = 34.69°
Element x y z (fractional)
Sc 0.000 0.000 0.000
Sc 0.223 0.223 0.627
Mo 0.474 0.474 0.491
Au 0.742 0.742 0.131

Computed properties:
* E above lowest polymorph: 78 meV per atom
* total DFT energy (no corrections): -6.86 eV/atom

---

[12]
Density functional theory data (PBE) for a relaxed structure of Na4Tl9Pb2.

a = 5.502 Å, b = 5.502 Å, c = 16.874 Å
α = 90.03°, β = 90.03°, γ = 59.98°
Element x y z (fractional)
Na 0.167 0.167 0.133
Na 0.167 0.167 0.336
Na 0.833 0.833 0.664
Na 0.833 0.833 0.867
Tl 0.167 0.167 0.533
Tl 0.167 0.167 0.936
Tl 0.500 0.500 0.000
Tl 0.500 0.500 0.200
Tl 0.500 0.500 0.397
Tl 0.500 0.500 0.603
Tl 0.500 0.500 0.800
Tl 0.833 0.833 0.064
Tl 0.833 0.833 0.467
Pb 0.167 0.167 0.737
Pb 0.833 0.833 0.263

Computed properties:
* total DFT energy (no corrections): -2.34 eV/atom

---

[13]
Density functional theory data (PBE) for a relaxed structure of Li2PIr.

a = 4.365 Å, b = 4.365 Å, c = 4.548 Å
α = 107.61°, β = 107.61°, γ = 40.29°
Element x y z (fractional)
Li 0.000 0.000 0.000
Li 0.236 0.236 0.826
P 0.733 0.733 0.373
Ir 0.459 0.459 0.461

Computed properties:
* total DFT energy (no corrections): -5.07 eV/atom

---

[14]
Density functional theory data (PBE) for a relaxed structure of YIn2Fe2.

a = 7.427 Å, b = 7.427 Å, c = 3.277 Å
α = 90.00°, β = 90.00°, γ = 90.00°
Element x y z (fractional)
Y 0.000 0.000 0.000
Y 0.500 0.500 0.000
In 0.156 0.344 0.500
In 0.344 0.844 0.500
In 0.656 0.156 0.500
In 0.844 0.656 0.500
Fe 0.136 0.636 0.000
Fe 0.364 0.136 0.000
Fe 0.636 0.864 0.000
Fe 0.864 0.364 0.000

Computed properties:
* E above lowest polymorph: 197 meV per atom
* total DFT energy (no corrections): -5.55 eV/atom

---

[15]
Density functional theory data (PBE) for a relaxed structure of AcTh2N4.

a = 7.368 Å, b = 7.366 Å, c = 7.363 Å
α = 60.03°, β = 60.01°, γ = 59.96°
Element x y z (fractional)
Ac 0.125 0.125 0.125
Ac 0.875 0.875 0.875
Th 0.000 0.500 0.500
Th 0.500 0.000 0.500
Th 0.500 0.500 0.000
Th 0.500 0.500 0.500
N 0.266 0.266 0.267
N 0.266 0.266 0.701
N 0.267 0.701 0.266
N 0.299 0.733 0.734
N 0.701 0.267 0.266
N 0.733 0.299 0.734
N 0.734 0.734 0.299
N 0.734 0.734 0.733

Computed properties:
* uncorrected formation energy: -1274 meV/atom
* total DFT energy (no corrections): -8.74 eV/atom

---

[16]
Density functional theory data (PBE) for a relaxed structure of GaPtBr.

a = 3.589 Å, b = 4.714 Å, c = 9.614 Å
α = 99.64°, β = 90.43°, γ = 112.09°
Element x y z (fractional)
Ga 0.114 0.226 0.122
Ga 0.886 0.774 0.878
Pt 0.404 0.802 0.090
Pt 0.596 0.198 0.910
Br 0.326 0.640 0.336
Br 0.674 0.360 0.664

Computed properties:
* uncorrected formation energy: -457 meV/atom
* E above lowest polymorph: 67 meV per atom
* total DFT energy (no corrections): -4.04 eV/atom

---

[17]
Density functional theory data (PBE) for a relaxed structure of BaCrBr2.

a = 9.500 Å, b = 9.500 Å, c = 9.500 Å
α = 26.13°, β = 26.13°, γ = 26.13°
Element x y z (fractional)
Ba 0.000 0.000 0.000
Cr 0.500 0.500 0.500
Br 0.117 0.117 0.117
Br 0.883 0.883 0.883

Computed properties:
* uncorrected formation energy: -544 meV/atom
* E above lowest polymorph: 254 meV per atom
* total DFT energy (no corrections): -4.27 eV/atom

---

[18]
Density functional theory data (PBE) for a relaxed structure of NbCr3Cu2S8.

a = 6.369 Å, b = 7.268 Å, c = 12.590 Å
α = 97.44°, β = 94.70°, γ = 90.29°
Element x y z (fractional)
Nb 0.143 0.204 0.291
Nb 0.857 0.796 0.709
Cr 0.244 0.381 0.999
Cr 0.369 0.551 0.717
Cr 0.374 0.061 0.722
Cr 0.626 0.939 0.278
Cr 0.631 0.449 0.283
Cr 0.756 0.619 0.001
Cu 0.120 0.690 0.277
Cu 0.261 0.871 0.003
Cu 0.739 0.129 0.997
Cu 0.880 0.310 0.723
S 0.099 0.649 0.094
S 0.108 0.154 0.106
S 0.196 0.286 0.652
S 0.197 0.792 0.645
S 0.311 0.952 0.355
S 0.318 0.479 0.362
S 0.386 0.102 0.901
S 0.409 0.593 0.898
S 0.591 0.407 0.102
S 0.614 0.898 0.099
S 0.682 0.521 0.638
S 0.689 0.048 0.645
S 0.803 0.208 0.355
S 0.804 0.714 0.348
S 0.892 0.846 0.894
S 0.901 0.351 0.906

Computed properties:
* uncorrected formation energy: -485 meV/atom
* E above lowest polymorph: 208 meV per atom
* total DFT energy (no corrections): -6.21 eV/atom

---

[19]
Density functional theory data (PBE) for a relaxed structure of Er4HgPd7.

a = 5.979 Å, b = 5.979 Å, c = 10.321 Å
α = 116.38°, β = 116.38°, γ = 51.62°
Element x y z (fractional)
Er 0.095 0.095 0.288
Er 0.290 0.290 0.867
Er 0.710 0.710 0.133
Er 0.905 0.905 0.712
Hg 0.500 0.500 0.500
Pd 0.000 0.000 0.500
Pd 0.132 0.132 0.019
Pd 0.290 0.290 0.595
Pd 0.425 0.425 0.184
Pd 0.575 0.575 0.816
Pd 0.710 0.710 0.405
Pd 0.868 0.868 0.981

Computed properties:
* total DFT energy (no corrections): -5.23 eV/atom

---

[20]
Density functional theory data (PBE) for a relaxed structure of Ac2Be2CuO6.

a = 5.489 Å, b = 5.489 Å, c = 5.900 Å
α = 90.00°, β = 90.00°, γ = 120.00°
Element x y z (fractional)
Ac 0.333 0.667 0.245
Ac 0.667 0.333 0.755
Be 0.333 0.667 0.774
Be 0.667 0.333 0.226
Cu 0.000 0.000 0.000
O 0.121 0.355 0.787
O 0.234 0.879 0.787
O 0.355 0.234 0.213
O 0.645 0.766 0.787
O 0.766 0.121 0.213
O 0.879 0.645 0.213

Computed properties:
* uncorrected formation energy: -2252 meV/atom
* total DFT energy (no corrections): -6.75 eV/atom

---

[21]
Density functional theory data (PBE) for a relaxed structure of Ba3HfZn2O8.

a = 5.916 Å, b = 5.916 Å, c = 7.648 Å
α = 90.00°, β = 90.00°, γ = 120.00°
Element x y z (fractional)
Ba 0.000 0.000 0.000
Ba 0.333 0.667 0.647
Ba 0.667 0.333 0.353
Hf 0.000 0.000 0.500
Zn 0.333 0.667 0.220
Zn 0.667 0.333 0.780
O 0.162 0.324 0.336
O 0.162 0.838 0.336
O 0.324 0.162 0.664
O 0.333 0.667 0.978
O 0.667 0.333 0.022
O 0.676 0.838 0.336
O 0.838 0.162 0.664
O 0.838 0.676 0.664

Computed properties:
* uncorrected formation energy: -2218 meV/atom
* total DFT energy (no corrections): -6.36 eV/atom

---

[22]
Density functional theory data (PBE) for a relaxed structure of Pa2BeAlPt6.

a = 6.397 Å, b = 6.397 Å, c = 6.397 Å
α = 60.00°, β = 60.00°, γ = 60.00°
Element x y z (fractional)
Pa 0.250 0.250 0.250
Pa 0.750 0.750 0.750
Be 0.000 0.000 0.000
Al 0.500 0.500 0.500
Pt 0.237 0.237 0.763
Pt 0.237 0.763 0.237
Pt 0.237 0.763 0.763
Pt 0.763 0.237 0.237
Pt 0.763 0.237 0.763
Pt 0.763 0.763 0.237

Computed properties:
* total DFT energy (no corrections): -6.83 eV/atom

---

[23]
Density functional theory data (PBE) for a relaxed structure of Ru8W.

a = 6.083 Å, b = 6.083 Å, c = 6.083 Å
α = 95.69°, β = 95.69°, γ = 143.28°
Element x y z (fractional)
Ru 0.000 0.334 0.334
Ru 0.000 0.666 0.666
Ru 0.331 0.331 0.663
Ru 0.331 0.669 0.000
Ru 0.334 0.000 0.334
Ru 0.666 0.000 0.666
Ru 0.669 0.331 0.000
Ru 0.669 0.669 0.337
W 0.000 0.000 0.000

Computed properties:
* total DFT energy (no corrections): -9.60 eV/atom